Record 1
6
Lattice="0.000 3.874 3.874 3.874 0.000 3.874 3.874 3.874 0.000" Properties=species:S:1:pos:R:3 comment="CrAgAu4 (GGA-PBE, optimized geometry)" magmom_total_mub_per_fu=4.698 e_tot_ev_per_cell=-24.543 space_group=F-43m delta_e_f_ev_per_atom=0.1734 pbc="T T T"
Cr 0.000 0.000 0.000
Ag 5.810 5.810 5.810
Au 2.905 2.905 2.905
Au 4.842 4.842 2.905
Au 4.842 2.905 4.842
Au 2.905 4.842 4.842

---

Record 2
28
Lattice="12.074 0.000 0.000 0.000 4.376 0.000 0.000 0.000 6.685" Properties=species:S:1:pos:R:3 comment="EuB2O4 (GGA-PBE, optimized geometry)" magmom_total_mub_per_fu=7.001 formation_energy_uncorrected_ev_per_atom=-2.6711 e_tot_ev_per_cell=-248.640 space_group=Pbcn pbc="T T T"
Eu 0.000 1.022 1.671
Eu 0.000 3.354 5.014
Eu 6.037 1.166 5.014
Eu 6.037 3.210 1.671
B 2.343 1.432 4.172
B 2.343 2.944 0.830
B 3.694 0.756 0.830
B 3.694 3.620 4.172
B 8.380 0.756 2.513
B 8.380 3.620 5.855
B 9.731 1.432 5.855
B 9.731 2.944 2.513
O 1.089 1.021 3.954
O 1.089 3.354 0.611
O 2.551 1.550 0.971
O 2.551 2.826 4.313
O 3.486 0.638 4.313
O 3.486 3.738 0.971
O 4.948 1.167 0.611
O 4.948 3.209 3.954
O 7.126 1.167 2.731
O 7.126 3.209 6.074
O 8.588 0.638 5.714
O 8.588 3.738 2.372
O 9.523 1.550 2.372
O 9.523 2.826 5.714
O 10.985 1.021 6.074
O 10.985 3.354 2.731

---

Record 3
4
Lattice="4.293 -1.550 0.000 4.293 1.550 0.000 -0.847 0.000 7.615" Properties=species:S:1:pos:R:3 comment="PbW (GGA-PBE, optimized geometry)" magmom_total_mub_per_fu=0.000 polymorph_energy_ev_per_fu=0.726 e_tot_ev_per_cell=-29.894 space_group=C2/m delta_e_f_ev_per_atom=0.8571 pbc="T T T"
Pb 0.704 0.000 2.317
Pb 7.033 0.000 5.298
W 3.065 0.000 0.471
W 4.673 0.000 7.145

---

Record 4
10
Lattice="-3.776 3.776 5.510 3.776 -3.776 5.510 3.776 3.776 -5.510" Properties=species:S:1:pos:R:3 comment="Cs2ZnPdBr6 (GGA-PBE, optimized geometry)" magmom_total_mub_per_fu=0.000 formation_energy_uncorrected_ev_per_atom=-1.0023 e_tot_ev_per_cell=-28.234 space_group=I4/mmm pbc="T T T"
Cs 3.776 0.000 2.755
Cs 0.000 3.776 2.755
Zn 0.000 0.000 0.000
Pd 0.000 0.000 5.510
Br 1.835 1.835 0.000
Br 1.941 -1.941 5.510
Br 0.000 0.000 2.967
Br 0.000 0.000 8.053
Br -1.941 1.941 5.510
Br 1.941 1.941 5.510

---

Record 5
8
Lattice="-3.636 3.636 2.816 3.636 -3.636 2.816 3.636 3.636 -2.816" Properties=species:S:1:pos:R:3 comment="Ti2SbRu (GGA-PBE, optimized geometry)" magmom_total_mub_per_fu=0.000 formation_energy_uncorrected_ev_per_atom=-0.0828 e_tot_ev_per_cell=-59.039 space_group=I-42d pbc="T T T"
Ti 5.454 1.467 -0.704
Ti 1.467 1.818 0.704
Ti -1.818 2.169 2.112
Ti 2.169 1.818 3.520
Sb 3.636 0.000 1.408
Sb 0.000 0.000 2.816
Ru 0.000 0.000 0.000
Ru 0.000 3.636 1.408

---

Record 6
4
Lattice="3.642 -2.135 0.000 3.642 2.135 0.000 -2.466 0.000 5.784" Properties=species:S:1:pos:R:3 comment="BaBeRu2 (GGA-PBE, optimized geometry)" magmom_total_mub_per_fu=0.000 e_tot_ev_per_cell=-23.803 space_group=Cm delta_e_f_ev_per_atom=0.0994 pbc="T T T"
Ba 0.000 0.000 0.000
Be -0.026 0.000 3.086
Ru 2.370 0.000 2.819
Ru 4.872 0.000 2.644